Here is a geometry-optimized PrZnAg structure from Alexandria via LeMat-Bulk. Energies are from PBE-GGA.

The structure in extended XYZ format:
```
6
Lattice="-0.876 0.583 -4.619 4.381 -1.869 -3.496 -3.184 -4.372 -2.378" Properties=species:S:1:pos:R:3 pbc="T T T"
Pr 1.484 -2.827 -3.068
Pr -2.268 -3.632 -4.888
Zn -0.613 -0.848 -4.850
Zn 0.622 -4.913 -5.597
Ag -1.416 -1.632 -2.367
Ag -1.102 -4.965 -7.707
```

Output
The symmetry is Imm2. The crystal system is orthorhombic. The value obtained for the final energy is -3.282 eV/atom. The density of states at the Fermi level comes out at 2.3 states/eV/f.u.

***

Here is a geometry-optimized Pm2Pr4Sm5 structure from Alexandria via LeMat-Bulk. Energies are from PBE-GGA.

The structure in extended XYZ format:
```
11
Lattice="-2.010 1.863 -2.283 -4.794 -7.846 -2.180 -4.249 5.277 10.831" Properties=species:S:1:pos:R:3 pbc="T T T"
Sm -4.955 4.914 5.584
Pr -4.870 -2.553 -0.582
Pr -1.418 -2.320 -0.645
Sm -1.005 0.931 -1.142
Pr -3.377 -5.526 -1.536
Pm -6.927 -1.938 1.730
Sm -3.202 -0.880 2.101
Sm -6.098 -5.619 0.784
Pm -4.126 1.233 4.638
Pr -6.183 1.847 6.950
Sm -7.851 0.174 4.267
```

Output
Its relative energy among the computed polymorphs is 1.45 eV/f.u. The symmetry is Immm. The crystal system is orthorhombic. The value obtained for the final energy is -4.516 eV/atom. The density of states at the Fermi level comes out at 15.7 states/eV/f.u.

***

Here is a geometry-optimized HSeBr2 structure from Alexandria via LeMat-Bulk. Energies are from PBE-GGA.

The structure in extended XYZ format:
```
4
Lattice="-6.533 -4.689 -0.023 -5.307 -5.060 3.301 -7.322 -2.248 2.449" Properties=species:S:1:pos:R:3 pbc="T T T"
Br -17.095 -10.704 5.110
Se 0.000 0.000 0.000
H -9.581 -5.999 2.864
Br -2.066 -1.294 0.618
```

Output
Its relative energy among the computed polymorphs is 2.81 eV/f.u. The symmetry is R-3m. The crystal system is trigonal. The value obtained for the final energy is -2.000 eV/atom. The density of states at the Fermi level comes out at 1.8 states/eV/f.u.

***

Here is a geometry-optimized CeMg5 structure from Alexandria via LeMat-Bulk. Energies are from PBE-GGA.

The structure in extended XYZ format:
```
6
Lattice="1.571 -8.873 0.000 1.571 8.873 0.000 0.000 0.000 5.315" Properties=species:S:1:pos:R:3 pbc="T T T"
Mg 1.571 0.930 2.657
Ce 1.571 -4.894 2.657
Mg 1.571 7.041 2.657
Mg 1.571 -2.853 0.000
Mg 1.571 8.859 0.000
Mg 1.571 2.748 0.000
```

Output
The symmetry is Amm2. The crystal system is orthorhombic. The value obtained for the final energy is -2.275 eV/atom. The density of states at the Fermi level comes out at 8.0 states/eV/f.u.

***

Question: Number 2 is which compound?
Answer: Pm2Pr4Sm5

***

Question: Which formula does entry 2 have?
Answer: Pm2Pr4Sm5